1.
LaPrNdGdZn12Ge6: optimized geometry, PBE.

Structure (POSCAR):
```
LaPrNdGdZn12Ge6
1.0
7.675 0.000 0.000
0.000 4.105 0.000
-0.002 0.000 13.295
La Pr Nd Gd Zn Ge
1 1 1 1 12 6
direct
0.000 0.000 0.000
0.000 0.000 0.335
0.500 0.000 0.502
0.501 0.000 0.833
0.144 0.500 0.811
0.145 0.500 0.524
0.190 0.000 0.669
0.214 0.500 0.167
0.405 0.000 0.262
0.410 0.000 0.071
0.644 0.500 0.023
0.644 0.500 0.312
0.689 0.000 0.169
0.711 0.500 0.667
0.902 0.000 0.761
0.906 0.000 0.573
0.310 0.500 0.359
0.313 0.500 0.974
0.384 0.500 0.670
0.804 0.500 0.857
0.808 0.500 0.477
0.882 0.500 0.168
```

## Properties
**Calculated total energy**: -3.24 eV per atom
**M_tot**: 0.0 μB per formula unit


2.
RbGdAlTe3: optimized geometry, PBE.

Structure (POSCAR):
```
RbGdAlTe3
1.0
2.422 -7.928 0.000
2.422 7.928 0.000
0.000 0.000 11.735
Rb Gd Al Te
2 2 2 6
direct
0.249 0.751 0.750
0.751 0.249 0.250
0.500 0.500 0.000
0.500 0.500 0.500
0.019 0.981 0.250
0.981 0.019 0.750
0.122 0.878 0.065
0.122 0.878 0.435
0.437 0.563 0.250
0.563 0.437 0.750
0.878 0.122 0.565
0.878 0.122 0.935
```

## Properties
**ΔE to the lowest computed polymorph**: 0.000 eV/atom
**Calculated total energy**: -4.07 eV per atom
**M_tot**: 0.0 μB per formula unit